(1)
This record from Alexandria via LeMat-Bulk describes a relaxed SnP2C crystal. The functional is GGA-PBE.

Summary:
As for the formation energy: 0.36 eV per atom. The value obtained for the distance to the lowest polymorph of the same formula is 0.011 eV/atom.

Unit cell a=2.9366 b=4.3729 c=6.0539 alpha=73.41 beta=89.71 gamma=70.40
Fractional positions:
C  0.0213  0.2366  0.5049
P  0.6539  0.9705  0.5309
P  0.8137  0.6563  0.2794
Sn  0.9438  0.3837  0.8785


(2)
This record from Alexandria via LeMat-Bulk describes a relaxed SnP2C crystal. The functional is GGA-PBE.

Summary:
As for the formation energy: 0.42 eV per atom. The value obtained for the distance to the lowest polymorph of the same formula is 0.070 eV/atom.

Unit cell a=5.5686 b=2.9380 c=12.4788 alpha=90.00 beta=116.43 gamma=90.00
Fractional positions:
Sn  0.5548  0.0000  0.1266
Sn  0.5548  0.5000  0.6266
P  0.0714  0.5000  0.6428
P  0.3169  0.0000  0.8889
P  0.0714  0.0000  0.1428
P  0.3169  0.5000  0.3889
C  0.2326  0.0000  0.3042
C  0.2326  0.5000  0.8042


| no. | energy (eV/atom) | theoretical density (g cm⁻³) |
| --- | --- | --- |
| 1 | -5.654 | 4.58 |
| 2 | -5.596 | 3.50 |